# 1
The following is a DFT calculation (PBE-GGA) of an optimized crystal structure of Ca5LaIn4.

abc: 3.8684 3.8684 20.5877
angles: 90.00 90.00 90.00
Last column: nearest neighbours and their distance in Å.
Fractional coordinates of all 10 atoms:
1 Ca 0.5000 0.5000 0.5000  8 In 3.32
2 Ca 0.5000 0.5000 0.3158  8 In 3.33-3.36
3 Ca 0.5000 0.5000 0.6842  8 In 3.33-3.36
4 Ca 0.5000 0.5000 0.1314  4 In 3.30
5 Ca 0.5000 0.5000 0.8686  4 In 3.30
6 In 0.0000 0.0000 0.7790  8 Ca 3.30-3.36
7 In 0.0000 0.0000 0.4083  8 Ca 3.32-3.33
8 In 0.0000 0.0000 0.2210  8 Ca 3.30-3.36
9 In 0.0000 0.0000 0.5917  8 Ca 3.32-3.33
10 La 0.0000 0.0000 0.0000  8 Ca 3.85, 4 La 3.87

Its calculated total energy is -2.940 eV/atom. For the formation energy, the calculation gives -0.35 eV/atom.

# 2
The following is a DFT calculation (PBE-GGA) of an optimized crystal structure of Ca2LaIn.

abc: 11.8503 11.8503 11.8503
angles: 18.09 18.09 18.09
Last column: nearest neighbours and their distance in Å.
Fractional coordinates of all 4 atoms:
1 La 0.7500 0.7500 0.7500  6 La 3.73, 6 Ca 3.92
2 Ca 0.5103 0.5103 0.5103  3 In 3.34, 6 Ca 3.73
3 Ca 0.9897 0.9897 0.9897  3 In 3.34, 6 Ca 3.73
4 In 0.2500 0.2500 0.2500  6 Ca 3.34, 6 In 3.73

The value obtained for the energy relative to the lowest polymorph listed for this composition is 13.2 kJ per mole of atoms. Its calculated total energy is -3.028 eV/atom. For the formation energy, the calculation gives -0.11 eV/atom.